A plane-wave DFT calculation with PBE-GGA was carried out for a relaxed structure of LaTi2Pb2.

a = 4.3858 Å, b = 4.3858 Å, c = 7.3906 Å
α = 72.74°, β = 72.74°, γ = 90.00°
Each line ends with the local moment (μB).
Atoms (fractional coordinates):
La: 0.0000 0.0000 0.0000  -0.03
Ti: 0.2500 0.7500 0.5000  0.78
Ti: 0.7500 0.2500 0.5000  0.78
Pb: 0.6134 0.6134 0.7732  -0.03
Pb: 0.3866 0.3866 0.2268  -0.03

Fermi-level density of states ... 0.664 states/eV/atom
E above lowest polymorph ... 0 meV/atom

A plane-wave DFT calculation with PBE-GGA was carried out for a relaxed structure of La2TiPb2.

a = 7.8871 Å, b = 7.8871 Å, c = 4.8401 Å
α = 90.00°, β = 90.00°, γ = 90.00°
Atoms (fractional coordinates):
La: 0.3316 0.1684 0.5000
La: 0.1684 0.6684 0.5000
La: 0.6684 0.8316 0.5000
La: 0.8316 0.3316 0.5000
Ti: 0.0000 0.0000 0.0000
Ti: 0.5000 0.5000 0.0000
Pb: 0.6440 0.1440 0.0000
Pb: 0.3560 0.8560 0.0000
Pb: 0.8560 0.6440 0.0000
Pb: 0.1440 0.3560 0.0000

Fermi-level density of states ... 1.251 states/eV/atom

A plane-wave DFT calculation with PBE-GGA was carried out for a relaxed structure of LaTi2Pb.

a = 4.4725 Å, b = 4.4725 Å, c = 10.6055 Å
α = 77.83°, β = 77.83°, γ = 90.00°
Atoms (fractional coordinates):
La: 0.2500 0.7500 0.5000
La: 0.5000 0.5000 0.0000
Pb: 0.0000 0.0000 0.0000
Pb: 0.7500 0.2500 0.5000
Ti: 0.3750 0.3554 0.7500
Ti: 0.6446 0.1250 0.2500
Ti: 0.1054 0.6250 0.2500
Ti: 0.8750 0.8946 0.7500

Fermi-level density of states ... 1.480 states/eV/atom

A plane-wave DFT calculation with PBE-GGA was carried out for a relaxed structure of LaTiPb.

a = 4.4319 Å, b = 4.4319 Å, c = 8.5065 Å
α = 90.00°, β = 90.00°, γ = 90.00°
Each line ends with the local moment (μB).
Atoms (fractional coordinates):
La: 0.0000 0.5000 0.8467  0.19
La: 0.5000 0.0000 0.1533  0.19
Ti: 0.5000 0.5000 0.5000  0.79
Ti: 0.0000 0.0000 0.5000  0.79
Pb: 0.5000 0.0000 0.7317  -0.03
Pb: 0.0000 0.5000 0.2683  -0.03

Fermi-level density of states ... 1.217 states/eV/atom

A plane-wave DFT calculation with PBE-GGA was carried out for a relaxed structure of La3TiPb.

a = 5.4667 Å, b = 5.4667 Å, c = 5.4667 Å
α = 90.00°, β = 90.00°, γ = 90.00°
Atoms (fractional coordinates):
Pb: 0.5000 0.5000 0.5000
La: 0.5000 0.0000 0.0000
La: 0.0000 0.5000 0.0000
La: 0.0000 0.0000 0.5000
Ti: 0.0000 0.0000 0.0000

Fermi-level density of states ... 1.795 states/eV/atom
E above lowest polymorph ... 0 meV/atom

A plane-wave DFT calculation with PBE-GGA was carried out for a relaxed structure of La2TiPb.

a = 8.6741 Å, b = 8.6741 Å, c = 6.8782 Å
α = 50.91°, β = 50.91°, γ = 90.00°
Atoms (fractional coordinates):
Ti: 0.5000 0.5000 0.0000
Ti: 0.2500 0.7500 0.5000
Pb: 0.0000 0.0000 0.0000
Pb: 0.7500 0.2500 0.5000
La: 0.3750 0.3940 0.7500
La: 0.6060 0.1250 0.2500
La: 0.8750 0.8560 0.7500
La: 0.1440 0.6250 0.2500

Fermi-level density of states ... 1.799 states/eV/atom

A plane-wave DFT calculation with PBE-GGA was carried out for a relaxed structure of LaTiPb2.

a = 4.9104 Å, b = 4.9104 Å, c = 11.0079 Å
α = 77.11°, β = 77.11°, γ = 90.00°
Each line ends with the local moment (μB).
Atoms (fractional coordinates):
Pb: 0.3750 0.4327 0.7500  -0.01
Pb: 0.5673 0.1250 0.2500  -0.01
Pb: 0.8750 0.8173 0.7500  -0.01
Pb: 0.1827 0.6250 0.2500  -0.01
Ti: 0.2500 0.7500 0.5000  1.52
Ti: 0.5000 0.5000 0.0000  1.52
La: 0.0000 0.0000 0.0000  0.26
La: 0.7500 0.2500 0.5000  0.26

Fermi-level density of states ... 0.784 states/eV/atom

A plane-wave DFT calculation with PBE-GGA was carried out for a relaxed structure of LaTi2Pb2.

a = 8.6514 Å, b = 8.6514 Å, c = 3.2404 Å
α = 90.00°, β = 90.00°, γ = 90.00°
Each line ends with the local moment (μB).
Atoms (fractional coordinates):
Ti: 0.3637 0.1363 0.5000  0.09
Ti: 0.1363 0.6363 0.5000  0.08
Ti: 0.6363 0.8637 0.5000  0.09
Ti: 0.8637 0.3637 0.5000  0.08
Pb: 0.1537 0.3463 0.0000  -0.01
Pb: 0.3463 0.8463 0.0000  -0.01
Pb: 0.8463 0.6537 0.0000  -0.01
Pb: 0.6537 0.1537 0.0000  -0.01
La: 0.5000 0.5000 0.0000  -0.05
La: 0.0000 0.0000 0.0000  -0.05

Fermi-level density of states ... 0.837 states/eV/atom
E above lowest polymorph ... 146 meV/atom

A plane-wave DFT calculation with PBE-GGA was carried out for a relaxed structure of LaZr2TiPb.

a = 5.1134 Å, b = 5.9201 Å, c = 5.1134 Å
α = 90.00°, β = 90.00°, γ = 90.00°
Atoms (fractional coordinates):
Zr: 0.0000 0.0000 0.5000
Zr: 0.5000 0.0000 0.0000
Pb: 0.0000 0.5000 0.0000
La: 0.0000 0.0000 0.0000
Ti: 0.5000 0.5000 0.5000

Fermi-level density of states ... 2.020 states/eV/atom

A plane-wave DFT calculation with PBE-GGA was carried out for a relaxed structure of La2TlPb.

a = 4.6938 Å, b = 4.6938 Å, c = 6.6152 Å
α = 90.00°, β = 90.00°, γ = 90.00°
Atoms (fractional coordinates):
La: 0.0000 0.0000 0.8748
La: 0.5000 0.5000 0.3752
Pb: 0.0000 0.0000 0.3748
Tl: 0.5000 0.5000 0.8751

Fermi-level density of states ... 1.730 states/eV/atom

A plane-wave DFT calculation with PBE-GGA was carried out for a relaxed structure of La4TlPb5.

a = 5.0058 Å, b = 6.9730 Å, c = 10.2565 Å
α = 114.34°, β = 104.12°, γ = 90.00°
Atoms (fractional coordinates):
Pb: 0.5000 0.5000 0.0000
Pb: 0.1028 0.3735 0.2055
Pb: 0.2985 0.1972 0.5969
Pb: 0.8972 0.6265 0.7945
Pb: 0.7015 0.8028 0.4031
La: 0.2975 0.7099 0.5950
La: 0.0873 0.8439 0.1746
La: 0.9127 0.1561 0.8254
La: 0.7025 0.2901 0.4050
Tl: 0.5000 0.0000 0.0000

Fermi-level density of states ... 0.728 states/eV/atom

A plane-wave DFT calculation with PBE-GGA was carried out for a relaxed structure of La2TlPb.

a = 5.9170 Å, b = 8.3212 Å, c = 3.6661 Å
α = 63.80°, β = 90.04°, γ = 124.50°
Atoms (fractional coordinates):
Tl: 0.5000 0.0000 0.5000
La: 0.0000 0.5000 0.5000
La: 0.0000 0.0000 0.0000
Pb: 0.5000 0.5000 0.0000

Fermi-level density of states ... 0.794 states/eV/atom

A plane-wave DFT calculation with PBE-GGA was carried out for a relaxed structure of La2TlPb.

a = 5.6392 Å, b = 5.6392 Å, c = 5.6392 Å
α = 60.00°, β = 60.00°, γ = 60.00°
Atoms (fractional coordinates):
La: 0.2500 0.2500 0.2500
La: 0.0000 0.0000 0.0000
Tl: 0.7500 0.7500 0.7500
Pb: 0.5000 0.5000 0.5000

Fermi-level density of states ... 1.558 states/eV/atom

A plane-wave DFT calculation with PBE-GGA was carried out for a relaxed structure of LaTl3Pb.

a = 6.0587 Å, b = 6.0587 Å, c = 6.0587 Å
α = 90.00°, β = 90.00°, γ = 90.00°
Atoms (fractional coordinates):
Tl: 0.5000 0.0000 0.0000
Tl: 0.0000 0.5000 0.0000
Tl: 0.0000 0.0000 0.5000
La: 0.0000 0.0000 0.0000
Pb: 0.5000 0.5000 0.5000

Fermi-level density of states ... 0.554 states/eV/atom
E above lowest polymorph ... 159 meV/atom

A plane-wave DFT calculation with PBE-GGA was carried out for a relaxed structure of La5TlPb6.

a = 5.0376 Å, b = 9.5398 Å, c = 9.5284 Å
α = 120.04°, β = 105.33°, γ = 90.00°
Atoms (fractional coordinates):
La: 0.0000 0.5000 0.0000
La: 0.6705 0.6705 0.3410
La: 0.3295 0.3295 0.6590
La: 0.3544 0.8544 0.7089
La: 0.6456 0.1456 0.2911
Pb: 0.5000 0.7385 0.0000
Pb: 0.5000 0.2615 0.0000
Pb: 0.1699 0.9168 0.3399
Pb: 0.1700 0.4230 0.3399
Pb: 0.8301 0.0832 0.6601
Pb: 0.8300 0.5770 0.6601
Tl: 0.0000 0.0000 0.0000

Fermi-level density of states ... 0.787 states/eV/atom

A plane-wave DFT calculation with PBE-GGA was carried out for a relaxed structure of La2TlPb4.

a = 6.8275 Å, b = 6.8275 Å, c = 6.9240 Å
α = 119.64°, β = 119.64°, γ = 89.72°
Atoms (fractional coordinates):
La: 0.2858 0.7856 0.5714
La: 0.7856 0.2858 0.5714
Pb: 0.7856 0.2857 0.0714
Pb: 0.2857 0.7856 0.0714
Pb: 0.7859 0.7859 0.0717
Pb: 0.2856 0.2856 0.0712
Tl: 0.7857 0.7857 0.5715

Fermi-level density of states ... 0.678 states/eV/atom
E above lowest polymorph ... 0 meV/atom

A plane-wave DFT calculation with PBE-GGA was carried out for a relaxed structure of La4TlPb.

a = 6.5475 Å, b = 6.5475 Å, c = 6.5475 Å
α = 60.00°, β = 60.00°, γ = 60.00°
Atoms (fractional coordinates):
La: 0.3758 0.3758 0.8725
La: 0.3758 0.3758 0.3758
La: 0.8725 0.3758 0.3758
La: 0.3758 0.8725 0.3758
Tl: 0.0000 0.0000 0.0000
Pb: 0.7500 0.7500 0.7500

Fermi-level density of states ... 1.229 states/eV/atom
E above lowest polymorph ... 381 meV/atom

A plane-wave DFT calculation with PBE-GGA was carried out for a relaxed structure of La2TlPb.

a = 8.8924 Å, b = 8.8924 Å, c = 7.1775 Å
α = 51.72°, β = 51.72°, γ = 90.00°
Each line ends with the local moment (μB).
Atoms (fractional coordinates):
La: 0.1237 0.6250 0.2500  0.16
La: 0.6263 0.1250 0.2500  0.16
La: 0.3750 0.3737 0.7500  0.16
La: 0.8750 0.8763 0.7500  0.16
Tl: 0.5000 0.5000 0.0000  0.01
Tl: 0.2500 0.7500 0.5000  0.01
Pb: 0.0000 0.0000 0.0000  0.01
Pb: 0.7500 0.2500 0.5000  0.01

Fermi-level density of states ... 1.028 states/eV/atom

A plane-wave DFT calculation with PBE-GGA was carried out for a relaxed structure of La2TlPb.

a = 5.2315 Å, b = 5.2315 Å, c = 4.5949 Å
α = 90.00°, β = 90.00°, γ = 90.00°
Atoms (fractional coordinates):
Tl: 0.0000 0.5000 0.5000
Pb: 0.5000 0.0000 0.5000
La: 0.0000 0.0000 0.0000
La: 0.5000 0.5000 0.0000

Fermi-level density of states ... 0.906 states/eV/atom

A plane-wave DFT calculation with PBE-GGA was carried out for a relaxed structure of La15TlPb4.

a = 5.0842 Å, b = 5.0842 Å, c = 25.2918 Å
α = 90.00°, β = 90.00°, γ = 90.00°
Atoms (fractional coordinates):
La: 0.0000 0.5000 0.8995
La: 0.5000 0.5000 0.2003
La: 0.5000 0.0000 0.8995
La: 0.5000 0.0000 0.5000
La: 0.5000 0.0000 0.1005
La: 0.5000 0.0000 0.6998
La: 0.5000 0.5000 0.0000
La: 0.0000 0.5000 0.3002
La: 0.5000 0.5000 0.7997
La: 0.5000 0.0000 0.3002
La: 0.5000 0.5000 0.5999
La: 0.5000 0.5000 0.4001
La: 0.0000 0.5000 0.1005
La: 0.0000 0.5000 0.5000
La: 0.0000 0.5000 0.6998
Pb: 0.0000 0.0000 0.6001
Pb: 0.0000 0.0000 0.3999
Pb: 0.0000 0.0000 0.8003
Pb: 0.0000 0.0000 0.1997
Tl: 0.0000 0.0000 0.0000

Fermi-level density of states ... 1.524 states/eV/atom

A plane-wave DFT calculation with PBE-GGA was carried out for a relaxed structure of La3Tl2Pb.

a = 3.6915 Å, b = 3.6915 Å, c = 13.7743 Å
α = 90.00°, β = 90.00°, γ = 90.00°
Atoms (fractional coordinates):
La: 0.0000 0.0000 0.0000
La: 0.0000 0.0000 0.6701
La: 0.0000 0.0000 0.3299
Tl: 0.5000 0.5000 0.8346
Tl: 0.5000 0.5000 0.1654
Pb: 0.5000 0.5000 0.5000

Fermi-level density of states ... 0.989 states/eV/atom
E above lowest polymorph ... 9 meV/atom

A plane-wave DFT calculation with PBE-GGA was carried out for a relaxed structure of La9TlPb2.

a = 5.0763 Å, b = 5.0763 Å, c = 15.2113 Å
α = 90.00°, β = 90.00°, γ = 90.00°
Atoms (fractional coordinates):
La: 0.5000 0.0000 0.1672
La: 0.0000 0.5000 0.5000
La: 0.0000 0.5000 0.1672
La: 0.5000 0.5000 0.6666
La: 0.5000 0.5000 0.3334
La: 0.0000 0.5000 0.8328
La: 0.5000 0.0000 0.8328
La: 0.5000 0.0000 0.5000
La: 0.5000 0.5000 0.0000
Tl: 0.0000 0.0000 0.0000
Pb: 0.0000 0.0000 0.6672
Pb: 0.0000 0.0000 0.3328

Fermi-level density of states ... 1.523 states/eV/atom

A plane-wave DFT calculation with PBE-GGA was carried out for a relaxed structure of La2Tl4Pb.

a = 11.5255 Å, b = 6.2227 Å, c = 6.9376 Å
α = 116.65°, β = 90.00°, γ = 90.00°
Atoms (fractional coordinates):
Tl: 0.7563 0.7115 0.0000
Tl: 0.2563 0.7885 0.0000
Tl: 0.7500 0.0167 0.5000
Tl: 0.7437 0.2115 0.0000
Tl: 0.2500 0.9833 0.5000
Tl: 0.2500 0.4833 0.5000
Tl: 0.2437 0.2885 0.0000
Tl: 0.7500 0.5167 0.5000
Pb: 0.5000 0.5000 0.0000
Pb: 0.0000 0.0000 0.0000
La: 0.0000 0.6486 0.2971
La: 0.0000 0.3514 0.7029
La: 0.5000 0.1486 0.2971
La: 0.5000 0.8514 0.7029

Fermi-level density of states ... 1.193 states/eV/atom

A plane-wave DFT calculation with PBE-GGA was carried out for a relaxed structure of La6Tl4Pb7.

a = 9.0544 Å, b = 9.0544 Å, c = 9.0544 Å
α = 109.47°, β = 109.47°, γ = 109.47°
Atoms (fractional coordinates):
Pb: 0.5000 0.2500 0.7500
Pb: 0.0000 0.0000 0.0000
Pb: 0.2500 0.7500 0.5000
Pb: 0.7500 0.2500 0.5000
Pb: 0.2500 0.5000 0.7500
Pb: 0.7500 0.5000 0.2500
Pb: 0.5000 0.7500 0.2500
Tl: 0.0000 0.0000 0.5000
Tl: 0.0000 0.5000 0.0000
Tl: 0.5000 0.5000 0.5000
Tl: 0.5000 0.0000 0.0000
La: 0.7022 0.0000 0.7022
La: 0.2978 0.0000 0.2978
La: 0.7022 0.7022 0.0000
La: 0.2978 0.2978 0.0000
La: 0.0000 0.7022 0.7022
La: 0.0000 0.2978 0.2978

Fermi-level density of states ... 1.241 states/eV/atom

| no. | final energy (eV per cell) | energy of formation from the pure elements (kJ/mol of formula units) | calculated volume (Å³ per cell) |
| --- | --- | --- | --- |
| 1 | -28.993 | -83 | 129.0 |
| 2 | -53.247 | -141 | 301.1 |
| 3 | -45.723 | 151 | 202.5 |
| 4 | -34.683 | -78 | 167.1 |
| 5 | -25.540 | 82 | 163.4 |
| 6 | -41.009 | 92 | 234.2 |
| 7 | -38.914 | 75 | 251.9 |
| 8 | -56.524 | -12 | 242.5 |
| 9 | -25.996 | 736 | 154.8 |
| 10 | -17.116 | -115 | 145.7 |
| 11 | -45.676 | -488 | 314.3 |
| 12 | -17.999 | -200 | 125.7 |
| 13 | -16.224 | -28 | 126.8 |
| 14 | -13.107 | 253 | 222.4 |
| 15 | -55.599 | -612 | 377.5 |
| 16 | -29.668 | -252 | 231.2 |
| 17 | -25.612 | 17 | 198.5 |
| 18 | -33.915 | -99 | 273.7 |
| 19 | -18.005 | -200 | 125.8 |
| 20 | -98.285 | -692 | 653.8 |
| 21 | -26.078 | -275 | 187.7 |
| 22 | -58.235 | -396 | 392.0 |
| 23 | -47.645 | -77 | 444.7 |
| 24 | -68.645 | -353 | 571.4 |